VASP calculation (GGA-PBE) on a geometry-optimized Zn2Tc structure.

Results
- ΔE_f: 15 kJ/mol of formula units
- Magnetic moment: 0.0 Bohr magnetons per cell
- ΔE to the lowest computed polymorph: 0.16 eV/f.u.

POSCAR file:
```
Zn2Tc
1.0
3.102 5.312 3.935
-4.730 -5.311 -1.660
2.612 -2.912 1.871
Tc Zn
2 4
Cartesian
4.691 2.627 5.075 Tc
-3.707 -5.537 -0.928 Tc
-0.531 -4.457 1.343 Zn
2.040 -0.969 3.180 Zn
-1.056 -1.941 0.966 Zn
1.515 1.547 2.803 Zn
```

***

VASP calculation (GGA-PBE) on a geometry-optimized Li3LaGa2 structure.

Results
- ΔE_f: -165 kJ/mol of formula units
- Magnetic moment: 0.7 Bohr magnetons per cell
- ΔE to the lowest computed polymorph: 0.34 eV/f.u.

POSCAR file:
```
Li3LaGa2
1.0
4.519 0.000 0.000
0.000 8.439 -4.872
0.000 0.000 9.745
Ga La Li
6 3 9
Cartesian
2.259 5.251 4.872 Ga
2.259 3.188 0.000 Ga
2.259 6.845 -2.111 Ga
2.259 1.594 2.761 Ga
2.259 1.594 6.984 Ga
2.259 6.845 2.111 Ga
2.259 0.000 0.000 La
0.000 5.626 0.000 La
0.000 2.813 4.872 La
0.000 5.968 -3.446 Li
2.259 0.000 4.872 Li
2.259 4.220 -2.436 Li
0.000 5.968 3.446 Li
0.000 0.000 2.853 Li
0.000 2.471 -1.427 Li
0.000 2.471 1.427 Li
0.000 0.000 6.892 Li
2.259 4.220 2.436 Li
```

***

VASP calculation (GGA-PBE) on a geometry-optimized SnBi structure.

Results
- ΔE_f: 26 kJ/mol of formula units
- Magnetic moment: 0.0 Bohr magnetons per cell

POSCAR file:
```
SnBi
1.0
4.622 0.000 0.000
-2.311 4.003 0.000
0.000 0.000 9.093
Bi Sn
2 2
Cartesian
2.311 1.334 1.962 Bi
0.000 2.669 6.508 Bi
2.311 1.334 7.877 Sn
0.000 2.669 3.331 Sn
```

***

VASP calculation (GGA-PBE) on a geometry-optimized CaZrMn4 structure.

Results
- ΔE_f: 130 kJ/mol of formula units
- Magnetic moment: 0.8 Bohr magnetons per cell

POSCAR file:
```
CaZrMn4
1.0
0.000 3.543 3.543
3.543 0.000 3.543
3.543 3.543 0.000
Ca Mn Zr
1 4 1
Cartesian
0.000 0.000 0.000 Ca
4.424 4.424 2.662 Mn
2.662 2.662 2.662 Mn
2.662 4.424 4.424 Mn
4.424 2.662 4.424 Mn
5.314 5.314 5.314 Zr
```

***

VASP calculation (GGA-PBE) on a geometry-optimized CaDyAgIr structure.

Results
- ΔE_f: -186 kJ/mol of formula units
- Magnetic moment: 0.0 Bohr magnetons per cell
- ΔE to the lowest computed polymorph: 0.00 eV/f.u.

POSCAR file:
```
CaDyAgIr
1.0
3.487 0.000 0.000
0.000 3.487 0.000
0.000 0.000 7.441
Ag Ir Dy Ca
1 1 1 1
Cartesian
0.000 0.000 0.618 Ag
0.000 0.000 4.094 Ir
1.744 1.744 2.629 Dy
1.744 1.744 5.939 Ca
```

***

VASP calculation (GGA-PBE) on a geometry-optimized MnAlNi2 structure.

Results
- ΔE_f: -51 kJ/mol of formula units
- Magnetic moment: 3.8 Bohr magnetons per cell

POSCAR file:
```
MnAlNi2
1.0
8.144 -0.049 -0.029
7.722 2.587 -0.029
7.722 1.235 2.273
Al Mn Ni
1 1 2
Cartesian
5.897 0.943 0.554 Al
17.691 2.830 1.662 Mn
11.820 1.891 1.110 Ni
23.562 3.769 2.213 Ni
```

***

VASP calculation (GGA-PBE) on a geometry-optimized LaTa2Pb structure.

Results
- ΔE_f: 203 kJ/mol of formula units
- Magnetic moment: 0.0 Bohr magnetons per cell

POSCAR file:
```
LaTa2Pb
1.0
3.772 0.000 0.000
0.000 3.772 0.000
0.000 0.000 6.933
La Ta Pb
1 2 1
Cartesian
1.886 1.886 1.733 La
0.000 0.000 6.494 Ta
0.000 0.000 3.905 Ta
1.886 1.886 5.199 Pb
```

***

VASP calculation (GGA-PBE) on a geometry-optimized TbNd5Hg3 structure.

Results
- ΔE_f: -246 kJ/mol of formula units
- Magnetic moment: 0.0 Bohr magnetons per cell

POSCAR file:
```
TbNd5Hg3
1.0
-5.574 3.428 -2.636
-5.640 -6.843 3.027
1.879 7.318 5.542
Tb Nd Hg
2 10 6
Cartesian
0.000 0.000 0.000 Tb
-2.787 1.714 -1.318 Tb
-2.657 1.016 2.220 Nd
-5.138 -3.687 1.351 Nd
-0.627 2.597 4.703 Nd
-5.921 -0.408 2.548 Nd
-0.146 5.716 3.021 Nd
-3.134 -2.122 3.866 Nd
-6.075 0.272 -0.960 Nd
-6.677 2.887 3.713 Nd
-9.189 -1.813 2.911 Nd
-3.414 4.311 3.385 Nd
-3.237 -1.380 0.330 Hg
-0.779 3.249 1.152 Hg
-7.977 -2.035 0.060 Hg
-3.925 1.177 5.109 Hg
-5.410 2.726 0.824 Hg
-8.555 0.654 4.780 Hg
```

***

VASP calculation (GGA-PBE) on a geometry-optimized AlGaTc2H structure.

Results
- Raw total energy: -6.124 eV/atom
- Magnetic moment: 0.0 Bohr magnetons per cell

POSCAR file:
```
AlGaTc2H
1.0
4.155 0.000 0.000
0.000 4.155 0.000
0.000 0.000 3.458
H Ga Tc Al
1 1 2 1
Cartesian
0.000 0.000 0.000 H
2.078 2.078 1.729 Ga
2.078 0.000 0.000 Tc
0.000 2.078 0.000 Tc
0.000 0.000 1.729 Al
```

***

VASP calculation (GGA-PBE) on a geometry-optimized In2PbSe2 structure.

Results
- E_form (uncorrected): -0.1767 eV per atom
- Magnetic moment: 0.0 Bohr magnetons per cell
- ΔE to the lowest computed polymorph: 0.30 eV/f.u.

POSCAR file:
```
In2PbSe2
1.0
5.475 0.000 0.000
0.000 5.475 0.000
2.738 2.738 4.665
Se Pb In
2 1 2
Cartesian
5.475 2.738 2.332 Se
2.738 5.475 2.332 Se
0.000 0.000 0.000 Pb
5.475 5.475 3.253 In
2.738 2.738 1.412 In
```

***

VASP calculation (GGA-PBE) on a geometry-optimized Mg3Sn5Pd12 structure.

Results
- ΔE_f: -329 kJ/mol of formula units
- Magnetic moment: 0.0 Bohr magnetons per cell

POSCAR file:
```
Mg3Sn5Pd12
1.0
13.236 0.000 0.000
-4.412 12.479 0.000
-4.412 -6.239 10.807
Pd Sn Mg
48 20 12
Cartesian
2.955 5.460 4.553 Pd
-3.663 10.572 1.602 Pd
6.776 11.056 0.740 Pd
1.957 1.486 9.956 Pd
1.457 0.779 6.254 Pd
0.658 7.516 7.116 Pd
6.776 3.190 3.802 Pd
8.982 -3.049 7.005 Pd
8.165 0.715 4.664 Pd
5.869 1.907 1.602 Pd
4.661 -1.486 9.956 Pd
2.864 1.277 3.691 Pd
-1.457 4.332 9.205 Pd
5.161 -0.779 6.254 Pd
-1.548 -0.715 4.664 Pd
-1.957 0.006 9.094 Pd
-3.753 5.524 6.143 Pd
2.455 4.753 0.851 Pd
-2.864 6.801 8.355 Pd
-0.249 7.726 0.851 Pd
2.364 -1.768 6.265 Pd
-0.749 7.019 4.553 Pd
9.073 6.246 1.712 Pd
-0.249 4.760 0.862 Pd
4.253 1.768 6.265 Pd
-1.457 -3.553 7.856 Pd
5.869 9.793 2.951 Pd
5.070 5.678 8.355 Pd
6.369 6.233 1.712 Pd
-4.570 9.289 3.802 Pd
8.075 -4.332 9.205 Pd
-4.253 4.817 10.067 Pd
4.661 1.480 9.945 Pd
-4.661 -0.006 9.094 Pd
-0.658 0.562 2.452 Pd
5.959 6.955 6.143 Pd
7.276 -0.562 2.452 Pd
-2.364 -4.817 10.067 Pd
3.753 -1.277 3.691 Pd
9.573 2.686 2.951 Pd
-5.161 3.553 7.856 Pd
1.957 -1.480 9.945 Pd
1.548 4.963 7.116 Pd
0.158 4.471 4.542 Pd
-2.364 3.049 7.005 Pd
8.665 1.422 0.740 Pd
2.455 7.719 0.862 Pd
2.047 8.007 4.542 Pd
-1.103 3.120 2.702 Sn
1.103 3.900 9.456 Sn
5.515 5.459 4.053 Sn
5.515 -3.900 9.456 Sn
0.000 0.000 0.000 Sn
-2.206 -3.120 5.403 Sn
4.412 6.239 0.000 Sn
-3.309 7.019 4.053 Sn
4.412 -3.120 5.403 Sn
5.515 3.120 8.105 Sn
1.103 -3.120 8.105 Sn
-4.412 3.120 5.403 Sn
3.309 9.359 2.702 Sn
-1.103 0.780 6.754 Sn
2.206 3.120 5.403 Sn
7.721 -0.780 6.754 Sn
-2.206 6.239 0.000 Sn
6.618 0.000 0.000 Sn
3.309 2.340 1.351 Sn
-1.103 10.139 1.351 Sn
5.515 0.780 4.053 Mg
7.721 8.579 1.351 Mg
9.927 0.000 2.702 Mg
-3.309 -2.340 9.456 Mg
-1.103 5.459 6.754 Mg
7.721 3.900 1.351 Mg
3.309 0.000 8.105 Mg
-5.515 6.239 8.105 Mg
1.103 6.239 2.702 Mg
-3.309 2.340 9.456 Mg
3.309 7.019 6.754 Mg
1.103 -0.780 4.053 Mg
```

***

VASP calculation (GGA-PBE) on a geometry-optimized ErThAgHg structure.

Results
- ΔE_f: -86 kJ/mol of formula units
- Magnetic moment: 0.7 Bohr magnetons per cell

POSCAR file:
```
ErThAgHg
1.0
5.278 0.000 0.000
2.639 4.571 0.000
2.639 1.524 4.310
Th Hg Er Ag
1 1 1 1
Cartesian
0.000 0.000 0.000 Th
7.917 4.571 3.232 Hg
5.278 3.047 2.155 Er
2.639 1.524 1.077 Ag
```